{
  "formula": "SmTlRe2O8",
  "functional": "PBE",
  "state": "relaxed",
  "lattice_angstrom": [[6.129, 0.000, 0.000], [-3.064, 5.308, 0.000], [0.000, 0.000, 7.793]],
  "species": ["O", "O", "O", "O", "Sm", "O", "Tl", "O", "O", "Re", "O", "Re"],
  "frac_coords": [[0.333, 0.667, 0.988], [0.829, 0.654, 0.318], [0.171, 0.346, 0.682], [0.667, 0.333, 0.012], [0.000, 0.000, 0.500], [0.346, 0.175, 0.318], [0.000, 0.000, 0.000], [0.175, 0.829, 0.682], [0.825, 0.171, 0.318], [0.667, 0.333, 0.239], [0.654, 0.825, 0.682], [0.333, 0.667, 0.761]],
  "total_magnetization_mub_per_atom": 0.165
}



{
  "formula": "Re3SnO",
  "functional": "PBE",
  "state": "relaxed",
  "lattice_angstrom": [[5.006, 0.000, 0.000], [0.000, 5.006, 0.000], [0.000, 0.000, 5.006]],
  "species": ["O", "Re", "Re", "Re", "Sn"],
  "frac_coords": [[0.500, 0.500, 0.500], [0.000, 0.000, 0.500], [0.000, 0.500, 0.000], [0.500, 0.000, 0.000], [0.000, 0.000, 0.000]],
  "total_magnetization_mub_per_atom": 1.734,
  "relative_energy_ev_per_atom": 2.868
}



{
  "formula": "Re2SnO",
  "functional": "PBE",
  "state": "relaxed",
  "lattice_angstrom": [[4.678, 0.000, 0.000], [0.000, 4.678, 0.000], [2.339, 2.339, 6.696]],
  "species": ["O", "Re", "Re", "O", "Re", "Sn", "Sn", "Re"],
  "frac_coords": [[0.500, 0.500, 0.000], [0.293, 0.625, 0.250], [0.375, 0.543, 0.750], [0.250, 0.750, 0.500], [0.875, 0.707, 0.750], [0.750, 0.250, 0.500], [0.000, 0.000, 0.000], [0.457, 0.125, 0.250]],
  "total_magnetization_mub_per_atom": 0.000,
  "relative_energy_ev_per_atom": 0.000
}



no.,E_form (uncorrected) (eV per atom)
1,-1.82
2,3.57
3,0.49